First-principles (GGA-PBE) data for Tm3Zr3Bi2Pt after structural relaxation, as listed in the Open Quantum Materials Database.

Cell lengths 8.0564, 8.0564, 4.0319 Å; angles 90.00, 90.00, 120.00 degrees
Last column: nearest neighbours and their distance in Å.
Fractional coordinates of all 9 atoms:
Tm 0.0000 0.6081 0.0000  1 Pt 3.16, 4 Bi 3.20, 4 Zr 3.41
Tm 0.3919 0.3919 0.0000  1 Pt 3.16, 4 Bi 3.20, 4 Zr 3.41
Tm 0.6081 0.0000 0.0000  1 Pt 3.16, 4 Bi 3.20, 4 Zr 3.41
Zr 0.0000 0.2345 0.5000  2 Pt 2.76
Zr 0.2345 0.0000 0.5000  2 Pt 2.76
Zr 0.7655 0.7655 0.5000  2 Pt 2.76
Bi 0.3333 0.6667 0.5000  3 Zr 3.16, 6 Tm 3.20
Bi 0.6667 0.3333 0.5000  3 Zr 3.16, 6 Tm 3.20
Pt 0.0000 0.0000 0.0000  6 Zr 2.76

Values from the calculation:
excess energy over the best structure of this formula in the dataset = 0.0 meV/atom
symmetry = P-62m, No. 189


First-principles (GGA-PBE) data for Tm3Zr3Bi2Pt after structural relaxation, as listed in the Open Quantum Materials Database.

Cell lengths 8.2153, 8.2153, 3.7874 Å; angles 90.00, 90.00, 120.00 degrees
Last column: nearest neighbours and their distance in Å.
Fractional coordinates of all 9 atoms:
Tm 0.0000 0.2498 0.0000  2 Pt 2.79
Tm 0.2498 0.0000 0.0000  2 Pt 2.79
Tm 0.7502 0.7502 0.0000  2 Pt 2.79
Zr 0.0000 0.6005 0.5000  4 Bi 3.15, 1 Pt 3.28, 6 Tm 3.44-3.45
Zr 0.3995 0.3995 0.5000  4 Bi 3.15, 1 Pt 3.28, 6 Tm 3.44-3.45
Zr 0.6005 0.0000 0.5000  4 Bi 3.15, 1 Pt 3.28, 6 Tm 3.44-3.45
Bi 0.3333 0.6667 0.0000  3 Tm 3.14, 6 Zr 3.15
Bi 0.6667 0.3333 0.0000  3 Tm 3.14, 6 Zr 3.15
Pt 0.0000 0.0000 0.5000  6 Tm 2.79

Values from the calculation:
excess energy over the best structure of this formula in the dataset = 62.2 meV/atom
symmetry = P-62m, No. 189


First-principles (GGA-PBE) data for BiPtW after structural relaxation, as listed in the Open Quantum Materials Database.

Cell lengths 4.5608, 4.5608, 4.5608 Å; angles 60.00, 60.00, 60.00 degrees
Last column: nearest neighbours and their distance in Å.
Fractional coordinates of all 3 atoms:
Bi 0.0000 0.0000 0.0000  4 W 2.79
Pt 0.5000 0.5000 0.5000  4 W 2.79
W 0.2500 0.2500 0.2500  4 Bi 2.79, 4 Pt 2.79

Values from the calculation:
symmetry = F-43m, No. 216
total energy = -21.00 eV per cell